[1]
Computed, not measured: Sc2CoRe after structural relaxation at the GGA-PBE level of DFT.

POSCAR file:
```
Sc2CoRe
1.0
2.870 0.000 0.000
0.000 2.870 0.000
0.000 0.000 8.371
Sc Re Co
2 1 1
Cartesian
1.435 1.435 2.542
0.000 0.000 8.033
1.435 1.435 5.934
0.000 0.000 4.419
```

Computed properties:
size of the total moment: 0.000 μB/atom
raw total energy: -8.06 eV/atom
Fermi-level density of states: 3.47 states/eV per cell

=====

[2]
Computed, not measured: HgIrAu3 after structural relaxation at the GGA-PBE level of DFT.

POSCAR file:
```
HgIrAu3
1.0
-4.719 0.484 -1.788
0.364 -4.555 -2.194
-1.816 -2.171 4.206
Au Ir Hg
3 1 1
Cartesian
-0.908 -1.085 2.103
0.182 -2.278 -1.097
-2.360 0.242 -0.894
0.000 0.000 0.000
-3.085 -3.121 0.112
```

Computed properties:
size of the total moment: 0.000 μB/atom
raw total energy: -2.87 eV/atom
Fermi-level density of states: 6.79 states/eV per cell

=====

[3]
Computed, not measured: Er2B4Os3 after structural relaxation at the GGA-PBE level of DFT.

POSCAR file:
```
Er2B4Os3
1.0
5.359 0.082 0.000
-2.418 4.784 0.000
-1.471 -2.433 4.826
B Er Os
4 2 3
Cartesian
-2.211 1.337 3.225
2.211 -1.337 3.225
-0.741 3.770 1.602
3.682 1.096 1.602
1.471 2.433 1.518
0.000 0.000 3.309
2.680 0.041 0.000
-1.209 2.392 0.000
0.000 0.000 0.000
```

Computed properties:
size of the total moment: 0.146 μB/atom
raw total energy: -7.75 eV/atom
Fermi-level density of states: 6.76 states/eV per cell

=====

[4]
Computed, not measured: CaSe4 after structural relaxation at the GGA-PBE level of DFT.

POSCAR file:
```
CaSe4
1.0
5.467 0.000 0.000
0.000 5.467 0.000
0.000 0.000 5.467
Ca Se
1 4
Cartesian
2.734 2.734 2.734
0.000 2.734 2.734
0.000 0.000 0.000
2.734 2.734 0.000
2.734 0.000 2.734
```

Computed properties:
size of the total moment: 0.225 μB/atom
raw formation energy: 0.3931 eV per atom
Fermi-level density of states: 7.14 states/eV per cell

=====

[5]
Computed, not measured: Sc2HPd after structural relaxation at the GGA-PBE level of DFT.

POSCAR file:
```
Sc2HPd
1.0
-4.522 -0.258 -0.134
-2.474 3.777 -0.380
-2.206 0.884 -3.858
Pd Sc H
1 2 1
Cartesian
-4.601 2.202 -2.186
-2.300 1.101 -1.093
-6.901 3.303 -3.279
0.000 0.000 0.000
```

Computed properties:
size of the total moment: 0.000 μB/atom
raw total energy: -5.56 eV/atom
Fermi-level density of states: 3.94 states/eV per cell

=====

[6]
Computed, not measured: BaNpTe2O8 after structural relaxation at the GGA-PBE level of DFT.

POSCAR file:
```
BaNpTe2O8
1.0
6.463 0.000 0.000
-3.231 5.597 0.000
0.000 0.000 7.287
Te O Np Ba
2 8 1 1
Cartesian
3.231 1.866 1.383
0.000 3.731 5.904
3.231 3.970 1.295
5.054 0.813 1.295
1.409 0.813 1.295
1.823 4.783 5.991
-1.823 4.783 5.991
0.000 1.626 5.991
3.231 1.866 3.205
0.000 3.731 4.081
0.000 0.000 0.000
0.000 0.000 3.643
```

Computed properties:
size of the total moment: 0.083 μB/atom
raw formation energy: -1.8382 eV per atom

=====

[7]
Computed, not measured: Pm2AlP after structural relaxation at the GGA-PBE level of DFT.

POSCAR file:
```
Pm2AlP
1.0
3.718 0.000 0.000
0.000 3.718 0.000
0.000 0.000 6.849
P Pm Al
1 2 1
Cartesian
1.859 1.859 0.000
0.000 0.000 1.584
0.000 0.000 5.265
1.859 1.859 3.424
```

Computed properties:
size of the total moment: 0.000 μB/atom
raw total energy: -5.36 eV/atom
Fermi-level density of states: 2.66 states/eV per cell

=====

[8]
Computed, not measured: Pr3Zn4Hg4 after structural relaxation at the GGA-PBE level of DFT.

POSCAR file:
```
Pr3Zn4Hg4
1.0
-3.041 1.767 -1.420
-2.832 -3.404 1.841
-3.826 7.174 12.094
Hg Zn Pr
4 4 3
Cartesian
-4.854 5.196 6.761
-6.643 5.571 11.064
-3.056 -0.035 1.451
-4.845 0.340 5.753
-5.123 6.606 9.082
-4.576 -1.070 3.433
-6.193 2.677 6.489
-3.506 2.859 6.026
-4.889 3.243 9.476
0.000 0.000 0.000
-4.810 2.292 3.039
```

Computed properties:
size of the total moment: 0.000 μB/atom
raw total energy: -2.21 eV/atom
Fermi-level density of states: 7.84 states/eV per cell

=====

[9]
Computed, not measured: CdPb2Br after structural relaxation at the GGA-PBE level of DFT.

POSCAR file:
```
CdPb2Br
1.0
6.785 0.058 0.000
3.713 5.678 0.000
-5.249 -2.868 3.202
Pb Br Cd
2 1 1
Cartesian
1.857 2.839 1.601
0.000 0.000 0.000
5.249 2.868 0.000
3.392 0.029 1.601
```

Computed properties:
size of the total moment: 0.000 μB/atom
raw formation energy: -0.0567 eV per atom
Fermi-level density of states: 2.93 states/eV per cell

=====

[10]
Computed, not measured: CeEr2Cd after structural relaxation at the GGA-PBE level of DFT.

POSCAR file:
```
CeEr2Cd
1.0
3.488 0.000 0.000
1.744 3.021 0.000
1.744 1.007 10.717
Er Ce Cd
2 1 1
Cartesian
5.233 3.021 8.179
1.744 1.007 2.538
3.488 2.014 5.358
0.000 0.000 0.000
```

Computed properties:
size of the total moment: 0.150 μB/atom
raw total energy: -4.04 eV/atom
Fermi-level density of states: 6.56 states/eV per cell

=====

[11]
Computed, not measured: Ac4Nd4Sm3 after structural relaxation at the GGA-PBE level of DFT.

POSCAR file:
```
Ac4Nd4Sm3
1.0
3.711 0.000 -0.684
-1.479 14.261 -8.028
0.139 -3.164 11.170
Ac Nd Sm
4 4 3
Cartesian
2.559 2.221 3.475
-0.187 8.875 -1.016
1.624 2.235 -1.600
0.609 12.027 -7.112
0.714 5.302 3.875
1.190 0.712 6.458
1.658 5.795 -1.416
1.182 10.384 -3.999
0.262 0.827 1.421
2.110 10.269 1.037
-0.739 7.131 -4.014
```

Computed properties:
size of the total moment: 0.000 μB/atom
raw total energy: -3.99 eV/atom
Fermi-level density of states: 19.65 states/eV per cell

=====

[12]
Computed, not measured: LiTiTc2Sn after structural relaxation at the GGA-PBE level of DFT.

POSCAR file:
```
LiTiTc2Sn
1.0
4.586 0.000 0.000
0.000 5.233 0.000
0.000 0.000 4.586
Tc Ti Li Sn
2 1 1 1
Cartesian
0.000 0.000 2.293
2.293 0.000 0.000
0.000 0.000 0.000
2.293 2.616 2.293
0.000 2.616 0.000
```

Computed properties:
size of the total moment: 0.537 μB/atom
raw total energy: -5.93 eV/atom
Fermi-level density of states: 4.89 states/eV per cell